Entry from Alexandria via LeMat-Bulk: crystalline Ca2Tl4Pb3 at its relaxed geometry (PBE).

a b c (Å): 4.8076 6.0283 10.6765
angles (deg): 73.89 76.99 66.50
Last column: nearest neighbours and their distance in Å.
Element x y z (fractional)
Ca  0.3370  0.1069  0.2192  5 Pb 3.45-3.59, 7 Tl 3.47-3.51
Ca  0.6630  0.8931  0.7808  5 Pb 3.45-3.59, 7 Tl 3.47-3.51
Tl  0.6700  0.5534  0.1065  4 Tl 3.40-3.51, 4 Pb 3.46-3.61, 4 Ca 3.47-3.51
Tl  0.9974  0.3385  0.6667  6 Pb 3.44-3.58, 3 Ca 3.47-3.51, 3 Tl 3.51-3.55
Tl  0.0026  0.6615  0.3333  6 Pb 3.44-3.58, 3 Ca 3.47-3.51, 3 Tl 3.51-3.55
Tl  0.3300  0.4466  0.8935  4 Tl 3.40-3.51, 4 Pb 3.46-3.61, 4 Ca 3.47-3.51
Pb  0.3335  0.7776  0.5553  6 Tl 3.44-3.61, 3 Pb 3.46-3.50, 3 Ca 3.51-3.59
Pb  0.0000  0.0000  0.0000  4 Ca 3.45, 8 Tl 3.46-3.58
Pb  0.6665  0.2224  0.4447  6 Tl 3.44-3.61, 3 Pb 3.46-3.50, 3 Ca 3.51-3.59

Results
The value obtained for the density of states at the Fermi level is 4.11 states/eV/cell. The formation enthalpy at 0 K comes out at -0.22 eV/atom. Its total moment is 0.00 μB/f.u.

Entry from Alexandria via LeMat-Bulk: crystalline Ca6TlPb3 at its relaxed geometry (PBE).

a b c (Å): 5.5041 9.6237 12.4671
angles (deg): 107.84 90.00 90.00
Last column: nearest neighbours and their distance in Å.
Element x y z (fractional)
Ca  0.2500  0.4817  0.0964  4 Pb 3.32-3.66, 1 Ca 3.70
Ca  0.7500  0.5183  0.9036  4 Pb 3.32-3.66, 1 Ca 3.70
Ca  0.2500  0.1345  0.1836  8 Ca 3.50-3.82, 3 Pb 3.53-3.66, 2 Tl 3.87
Ca  0.7500  0.8655  0.8164  8 Ca 3.50-3.82, 3 Pb 3.53-3.66, 2 Tl 3.87
Ca  0.2500  0.6409  0.6862  5 Pb 3.23-3.34, 1 Tl 3.31, 2 Ca 3.57
Ca  0.7500  0.3591  0.3138  5 Pb 3.23-3.34, 1 Tl 3.31, 2 Ca 3.57
Ca  0.2500  0.2346  0.4990  4 Pb 3.33-3.53, 3 Tl 3.42-3.54
Ca  0.7500  0.7654  0.5010  4 Pb 3.33-3.53, 3 Tl 3.42-3.54
Ca  0.2500  0.8385  0.3236  3 Tl 3.34-3.63, 3 Pb 3.34-3.41, 3 Ca 3.72-3.73
Ca  0.7500  0.1615  0.6764  3 Tl 3.34-3.63, 3 Pb 3.34-3.41, 3 Ca 3.72-3.73
Ca  0.2500  0.1069  0.8974  4 Pb 3.14-3.47, 1 Tl 3.21, 1 Ca 3.50
Ca  0.7500  0.8931  0.1026  4 Pb 3.14-3.47, 1 Tl 3.21, 1 Ca 3.50
Tl  0.2500  0.9554  0.6296  7 Ca 3.21-3.54
Tl  0.7500  0.0446  0.3704  7 Ca 3.21-3.54
Pb  0.2500  0.5312  0.4049  7 Ca 3.23-3.53
Pb  0.7500  0.4688  0.5951  7 Ca 3.23-3.53
Pb  0.2500  0.3520  0.7794  7 Ca 3.14-3.34
Pb  0.7500  0.6480  0.2206  7 Ca 3.14-3.34
Pb  0.2500  0.7813  0.9628  6 Ca 3.26-3.53
Pb  0.7500  0.2187  0.0372  6 Ca 3.26-3.53

Results
The value obtained for the density of states at the Fermi level is 10.11 states/eV/cell. The formation enthalpy at 0 K comes out at -0.46 eV/atom. Its total moment is 0.00 μB/f.u.

Entry from Alexandria via LeMat-Bulk: crystalline Ca3Tl12Pb at its relaxed geometry (PBE).

a b c (Å): 4.9712 4.9712 19.0286
angles (deg): 90.00 90.00 90.00
Last column: nearest neighbours and their distance in Å.
Element x y z (fractional)
Ca  0.0000  0.0000  0.2513  12 Tl 3.43-3.52
Ca  0.0000  0.0000  0.5000  12 Tl 3.43-3.52
Ca  0.0000  0.0000  0.7487  12 Tl 3.43-3.52
Tl  0.5000  0.5000  0.0000  8 Tl 3.46, 4 Pb 3.52
Tl  0.5000  0.5000  0.2555  8 Tl 3.38-3.50, 4 Ca 3.52
Tl  0.5000  0.5000  0.5000  8 Tl 3.43, 4 Ca 3.52
Tl  0.5000  0.5000  0.7445  8 Tl 3.38-3.50, 4 Ca 3.52
Tl  0.5000  0.0000  0.1262  2 Ca 3.44, 8 Tl 3.46-3.52, 2 Pb 3.46
Tl  0.5000  0.0000  0.3756  8 Tl 3.38-3.52, 4 Ca 3.43
Tl  0.5000  0.0000  0.6244  8 Tl 3.38-3.52, 4 Ca 3.43
Tl  0.5000  0.0000  0.8738  2 Ca 3.44, 8 Tl 3.46-3.52, 2 Pb 3.46
Tl  0.0000  0.5000  0.1262  2 Ca 3.44, 8 Tl 3.46-3.52, 2 Pb 3.46
Tl  0.0000  0.5000  0.3756  8 Tl 3.38-3.52, 4 Ca 3.43
Tl  0.0000  0.5000  0.6244  8 Tl 3.38-3.52, 4 Ca 3.43
Tl  0.0000  0.5000  0.8738  2 Ca 3.44, 8 Tl 3.46-3.52, 2 Pb 3.46
Pb  0.0000  0.0000  0.0000  12 Tl 3.46-3.52

Results
The value obtained for the density of states at the Fermi level is 9.65 states/eV/cell. The formation enthalpy at 0 K comes out at -0.17 eV/atom. Its total moment is 0.00 μB/f.u.

Entry from Alexandria via LeMat-Bulk: crystalline Ca5Tl6Pb at its relaxed geometry (PBE).

a b c (Å): 5.5139 7.8416 8.6686
angles (deg): 90.00 71.85 90.00
Last column: nearest neighbours and their distance in Å.
Element x y z (fractional)
Pb  0.0000  0.0000  0.0000  8 Tl 3.39-3.42
Ca  0.6682  0.5000  0.6643  8 Tl 3.35-3.40
Ca  0.3392  0.0000  0.3215  8 Tl 3.33-3.42
Ca  0.0000  0.5000  0.0000  8 Tl 3.35-3.41
Ca  0.6608  0.0000  0.6785  8 Tl 3.33-3.42
Ca  0.3318  0.5000  0.3357  8 Tl 3.35-3.40
Tl  0.8316  0.7529  0.3371  7 Ca 3.35-3.42, 1 Pb 3.39
Tl  0.8316  0.2471  0.3371  7 Ca 3.35-3.42, 1 Pb 3.39
Tl  0.5000  0.2576  0.0000  6 Ca 3.33-3.36, 2 Pb 3.42
Tl  0.5000  0.7424  0.0000  6 Ca 3.33-3.36, 2 Pb 3.42
Tl  0.1684  0.7529  0.6629  7 Ca 3.35-3.42, 1 Pb 3.39
Tl  0.1684  0.2471  0.6629  7 Ca 3.35-3.42, 1 Pb 3.39

Results
The value obtained for the density of states at the Fermi level is 7.24 states/eV/cell. The formation enthalpy at 0 K comes out at -0.36 eV/atom. Its total moment is 0.00 μB/f.u.

Entry from Alexandria via LeMat-Bulk: crystalline CaTl8Pb5 at its relaxed geometry (PBE).

a b c (Å): 8.4882 8.4882 8.4882
angles (deg): 104.30 120.39 104.30
Last column: nearest neighbours and their distance in Å.
Element x y z (fractional)
Ca  0.2500  0.5000  0.7500  8 Tl 3.24-3.28
Tl  0.1026  0.6385  0.0194  1 Ca 3.24, 5 Pb 3.27-3.49, 2 Tl 3.33-3.50
Tl  0.9806  0.0832  0.6192  1 Ca 3.24, 5 Pb 3.27-3.49, 2 Tl 3.33-3.50
Tl  0.7552  0.3534  0.4350  1 Ca 3.28, 3 Pb 3.30-3.61, 3 Tl 3.33-3.50
Tl  0.5650  0.3202  0.9184  1 Ca 3.28, 3 Pb 3.30-3.61, 3 Tl 3.33-3.50
Tl  0.5982  0.6798  0.2448  1 Ca 3.28, 3 Pb 3.30-3.61, 3 Tl 3.33-3.50
Tl  0.5359  0.9168  0.8974  1 Ca 3.24, 5 Pb 3.27-3.49, 2 Tl 3.33-3.50
Tl  0.3808  0.3615  0.4641  1 Ca 3.24, 5 Pb 3.27-3.49, 2 Tl 3.33-3.50
Tl  0.0816  0.6466  0.4018  1 Ca 3.28, 3 Pb 3.30-3.61, 3 Tl 3.33-3.50
Pb  0.9565  0.2394  0.0101  6 Tl 3.27-3.61, 4 Pb 3.44-3.61
Pb  0.9899  0.9464  0.2293  6 Tl 3.27-3.61, 4 Pb 3.44-3.61
Pb  0.7707  0.7606  0.7171  6 Tl 3.27-3.61, 4 Pb 3.44-3.61
Pb  0.5000  0.0000  0.5000  8 Tl 3.49-3.58, 4 Pb 3.56
Pb  0.2829  0.0536  0.0435  6 Tl 3.27-3.61, 4 Pb 3.44-3.61

Results
The value obtained for the density of states at the Fermi level is 7.51 states/eV/cell. The formation enthalpy at 0 K comes out at 0.01 eV/atom. Its total moment is 0.00 μB/f.u.

Entry from Alexandria via LeMat-Bulk: crystalline CaTl2Pb3 at its relaxed geometry (PBE).

a b c (Å): 6.2302 6.2302 11.0817
angles (deg): 101.71 101.71 112.90
Last column: nearest neighbours and their distance in Å.
Element x y z (fractional)
Ca  0.1229  0.8771  0.2500  6 Pb 3.44-3.59, 6 Tl 3.47-3.55
Ca  0.8771  0.1229  0.7500  6 Pb 3.44-3.59, 6 Tl 3.47-3.55
Tl  0.0436  0.2878  0.0862  7 Pb 3.43-3.64, 3 Ca 3.47-3.55, 2 Tl 3.48-3.70
Tl  0.7122  0.9564  0.4138  7 Pb 3.43-3.64, 3 Ca 3.47-3.55, 2 Tl 3.48-3.70
Tl  0.9564  0.7122  0.9138  7 Pb 3.43-3.64, 3 Ca 3.47-3.55, 2 Tl 3.48-3.70
Tl  0.2878  0.0436  0.5862  7 Pb 3.43-3.64, 3 Ca 3.47-3.55, 2 Tl 3.48-3.70
Pb  0.2115  0.4706  0.4206  5 Pb 3.40-3.67, 5 Tl 3.43-3.64, 2 Ca 3.56-3.59
Pb  0.5294  0.7885  0.0794  5 Pb 3.40-3.67, 5 Tl 3.43-3.64, 2 Ca 3.56-3.59
Pb  0.7885  0.5294  0.5794  5 Pb 3.40-3.67, 5 Tl 3.43-3.64, 2 Ca 3.56-3.59
Pb  0.4706  0.2115  0.9206  5 Pb 3.40-3.67, 5 Tl 3.43-3.64, 2 Ca 3.56-3.59
Pb  0.6282  0.3718  0.2500  6 Pb 3.40-3.67, 2 Ca 3.44, 4 Tl 3.50-3.58
Pb  0.3718  0.6282  0.7500  6 Pb 3.40-3.67, 2 Ca 3.44, 4 Tl 3.50-3.58

Results
The value obtained for the density of states at the Fermi level is 5.73 states/eV/cell. The formation enthalpy at 0 K comes out at -0.16 eV/atom. Its total moment is 0.00 μB/f.u.

Repeat the sixth record exactly.
Entry from Alexandria via LeMat-Bulk: crystalline CaTl2Pb3 at its relaxed geometry (PBE).

a b c (Å): 6.2302 6.2302 11.0817
angles (deg): 101.71 101.71 112.90
Last column: nearest neighbours and their distance in Å.
Element x y z (fractional)
Ca  0.1229  0.8771  0.2500  6 Pb 3.44-3.59, 6 Tl 3.47-3.55
Ca  0.8771  0.1229  0.7500  6 Pb 3.44-3.59, 6 Tl 3.47-3.55
Tl  0.0436  0.2878  0.0862  7 Pb 3.43-3.64, 3 Ca 3.47-3.55, 2 Tl 3.48-3.70
Tl  0.7122  0.9564  0.4138  7 Pb 3.43-3.64, 3 Ca 3.47-3.55, 2 Tl 3.48-3.70
Tl  0.9564  0.7122  0.9138  7 Pb 3.43-3.64, 3 Ca 3.47-3.55, 2 Tl 3.48-3.70
Tl  0.2878  0.0436  0.5862  7 Pb 3.43-3.64, 3 Ca 3.47-3.55, 2 Tl 3.48-3.70
Pb  0.2115  0.4706  0.4206  5 Pb 3.40-3.67, 5 Tl 3.43-3.64, 2 Ca 3.56-3.59
Pb  0.5294  0.7885  0.0794  5 Pb 3.40-3.67, 5 Tl 3.43-3.64, 2 Ca 3.56-3.59
Pb  0.7885  0.5294  0.5794  5 Pb 3.40-3.67, 5 Tl 3.43-3.64, 2 Ca 3.56-3.59
Pb  0.4706  0.2115  0.9206  5 Pb 3.40-3.67, 5 Tl 3.43-3.64, 2 Ca 3.56-3.59
Pb  0.6282  0.3718  0.2500  6 Pb 3.40-3.67, 2 Ca 3.44, 4 Tl 3.50-3.58
Pb  0.3718  0.6282  0.7500  6 Pb 3.40-3.67, 2 Ca 3.44, 4 Tl 3.50-3.58

Results
The value obtained for the density of states at the Fermi level is 5.73 states/eV/cell. The formation enthalpy at 0 K comes out at -0.16 eV/atom. Its total moment is 0.00 μB/f.u.

> What is the formula in the first record?

Ca2Tl4Pb3

> Look up the density of states at the Fermi level of the first one.

4.11 states/eV/cell

What did the first record say?
Entry from Alexandria via LeMat-Bulk: crystalline Ca2Tl4Pb3 at its relaxed geometry (PBE).

a b c (Å): 4.8076 6.0283 10.6765
angles (deg): 73.89 76.99 66.50
Last column: nearest neighbours and their distance in Å.
Element x y z (fractional)
Ca  0.3370  0.1069  0.2192  5 Pb 3.45-3.59, 7 Tl 3.47-3.51
Ca  0.6630  0.8931  0.7808  5 Pb 3.45-3.59, 7 Tl 3.47-3.51
Tl  0.6700  0.5534  0.1065  4 Tl 3.40-3.51, 4 Pb 3.46-3.61, 4 Ca 3.47-3.51
Tl  0.9974  0.3385  0.6667  6 Pb 3.44-3.58, 3 Ca 3.47-3.51, 3 Tl 3.51-3.55
Tl  0.0026  0.6615  0.3333  6 Pb 3.44-3.58, 3 Ca 3.47-3.51, 3 Tl 3.51-3.55
Tl  0.3300  0.4466  0.8935  4 Tl 3.40-3.51, 4 Pb 3.46-3.61, 4 Ca 3.47-3.51
Pb  0.3335  0.7776  0.5553  6 Tl 3.44-3.61, 3 Pb 3.46-3.50, 3 Ca 3.51-3.59
Pb  0.0000  0.0000  0.0000  4 Ca 3.45, 8 Tl 3.46-3.58
Pb  0.6665  0.2224  0.4447  6 Tl 3.44-3.61, 3 Pb 3.46-3.50, 3 Ca 3.51-3.59

Results
The value obtained for the density of states at the Fermi level is 4.11 states/eV/cell. The formation enthalpy at 0 K comes out at -0.22 eV/atom. Its total moment is 0.00 μB/f.u.